No. 1
A relaxed structure of Pm9PrAl2. Source: Alexandria via LeMat-Bulk, functional PBE-GGA.

Cell: 4.9285 4.9285 15.2249 Å, 90.00 90.00 90.00°
Space group P4/mmm (No. 123)
Inequivalent atoms, fractional coordinates:
Pm (0.0000, 0.0000, 0.0000) x1
Pm (0.0000, 0.0000, 0.3430) x2
Pm (0.0000, 0.5000, 0.1808) x4
Pm (0.0000, 0.5000, 0.5000) x2
Pr (0.5000, 0.5000, 0.0000) x1
Al (0.5000, 0.5000, 0.3402) x2

- calculated total energy (eV per atom) = -4.679

No. 2
A relaxed structure of Pm2PrAl3. Source: Alexandria via LeMat-Bulk, functional PBE-GGA.

Cell: 3.7178 3.7178 11.1646 Å, 90.00 90.00 90.00°
Space group P4/mmm (No. 123)
Inequivalent atoms, fractional coordinates:
Pm (0.0000, 0.0000, 0.1647) x2
Pr (0.0000, 0.0000, 0.5000) x1
Al (0.5000, 0.5000, 0.0000) x1
Al (0.5000, 0.5000, 0.3281) x2

- calculated total energy (eV per atom) = -4.609

No. 3
A relaxed structure of Pm4Pr3Al4. Source: Alexandria via LeMat-Bulk, functional PBE-GGA.

Cell: 5.2433 6.9911 17.6194 Å, 90.00 90.00 90.00°
Space group Immm (No. 71)
Inequivalent atoms, fractional coordinates:
Pm (0.0000, 0.2325, 0.1780) x8
Pr (0.0000, 0.0000, 0.3999) x4
Pr (0.0000, 0.5000, 0.5000) x2
Al (0.0000, 0.3043, 0.0000) x4
Al (0.0000, 0.5000, 0.3243) x4

- calculated total energy (eV per atom) = -4.566

No. 4
A relaxed structure of PmPrAl3. Source: Alexandria via LeMat-Bulk, functional PBE-GGA.

Cell: 3.7878 28.1787 4.5912 Å, 90.00 90.00 90.00°
Space group Cmcm (No. 63)
Inequivalent atoms, fractional coordinates:
Pm (0.0000, 0.2095, 0.2500) x4
Pr (0.0000, 0.0716, 0.7500) x4
Al (0.0000, 0.3300, 0.2500) x4
Al (0.0000, 0.3813, 0.7500) x4
Al (0.0000, 0.4762, 0.7500) x4

- calculated total energy (eV per atom) = -4.577

No. 5
A relaxed structure of Pm5Pr12Al2. Source: Alexandria via LeMat-Bulk, functional PBE-GGA.

Cell: 18.2908 8.1417 9.1370 Å, 90.00 108.17 90.00°
Space group C2/m (No. 12)
Inequivalent atoms, fractional coordinates:
Pm (0.0000, 0.0000, 0.0000) x2
Pm (0.1819, 0.5000, 0.6636) x4
Pm (0.2487, 0.0000, 0.7149) x4
Pr (0.0178, 0.5000, 0.1909) x4
Pr (0.0535, 0.0000, 0.6675) x4
Pr (0.1352, 0.2001, 0.3629) x8
Pr (0.1537, 0.2358, 0.9697) x8
Al (0.0000, 0.3394, 0.5000) x4

- calculated total energy (eV per atom) = -4.610

No. 6
A relaxed structure of Pm3PrAl4. Source: Alexandria via LeMat-Bulk, functional PBE-GGA.

Cell: 3.7255 5.2478 10.4961 Å, 90.00 90.00 90.00°
Space group Pmmm (No. 47)
Inequivalent atoms, fractional coordinates:
Pm (0.0000, 0.0000, 0.0000) x1
Pm (0.0000, 0.5000, 0.2498) x2
Pr (0.0000, 0.0000, 0.5000) x1
Al (0.5000, 0.0000, 0.2471) x2
Al (0.5000, 0.5000, 0.0000) x1
Al (0.5000, 0.5000, 0.5000) x1

- calculated total energy (eV per atom) = -4.610

calculated total energy of number 2 (Pm2PrAl3)? -4.609 eV per atom